Record 1
The following is a DFT calculation (PBE-GGA) of a relaxed Sr6HgAu2N crystal.

Lattice parameters (Å, degrees): 7.4811 8.1866 12.7247 90.00 122.20 90.00
With the nearest neighbours (Å) after each atom.
Space group P2_1/c (No. 14)
Unique sites:
Sr 0.0790 0.0454 0.2239 [4 per cell]  1 N 2.61
Sr 0.2080 0.7109 0.0691 [4 per cell]  1 N 2.71
Sr 0.3527 0.1557 0.0601 [4 per cell]  1 N 2.65
Hg 0.5000 0.0000 0.5000 [2 per cell]  6 Sr 3.25-3.26
Au 0.3073 0.1071 0.7609 [4 per cell]  6 Sr 3.18-3.42
N 0.0000 0.0000 0.0000 [2 per cell]  6 Sr 2.61-2.71

Properties
Its total DFT energy (no corrections) is -3.084 eV per atom. The uncorrected formation energy is -0.56 eV per atom. As for the crystal system: monoclinic. The size of the total moment comes out at 0.000 μB/cell.

Record 2
The following is a DFT calculation (PBE-GGA) of a relaxed Li2TaCBr crystal.

Lattice parameters (Å, degrees): 4.0138 4.0138 5.1751 90.00 90.00 90.00
With the nearest neighbours (Å) after each atom.
Space group P4/mmm (No. 123)
Unique sites:
Li 0.0000 0.5000 0.0000 [2 per cell]  2 Br 2.01
Ta 0.0000 0.0000 0.5000 [1 per cell]  2 Br 2.59, 4 C 2.84
C 0.5000 0.5000 0.5000 [1 per cell]  4 Ta 2.84
Br 0.0000 0.0000 0.0000 [1 per cell]  4 Li 2.01

Properties
Its total DFT energy (no corrections) is -3.949 eV per atom. The uncorrected formation energy is 1.37 eV per atom. As for the crystal system: tetragonal. The size of the total moment comes out at 0.269 μB/cell.